[1]
Crystalline RbMgSbBr6 at its relaxed geometry, computed with PBE.

The calculation puts the mass density at 3.40 g/cm³. Its calculated total energy is -27.23 eV per cell. The value obtained for the formation energy (no corrections) is -26.925 kcal/mol of atoms. Its space group is No. 149.

```
data_RbMgSbBr6
_chemical_formula_sum 'Rb1 Mg1 Sb1 Br6'
_cell_length_a 7.200
_cell_length_b 7.200
_cell_length_c 7.735
_cell_angle_alpha 90.00
_cell_angle_beta 90.00
_cell_angle_gamma 120.00
_symmetry_space_group_name_H-M 'P 1'
_symmetry_Int_Tables_number 1
loop_
_symmetry_equiv_pos_as_xyz
'x,y,z'
loop_
_atom_site_label
_atom_site_fract_x
_atom_site_fract_y
_atom_site_fract_z
Rb1 0.000 0.000 0.000
Mg1 0.667 0.333 0.500
Sb1 0.333 0.667 0.500
Br1 0.379 0.014 0.706
Br2 0.379 0.365 0.294
Br3 0.635 0.014 0.294
Br4 0.635 0.621 0.706
Br5 0.986 0.365 0.706
Br6 0.986 0.621 0.294
```


[2]
Crystalline NaPmReN3 at its relaxed geometry, computed with PBE.

The calculation puts the mass density at 7.76 g/cm³. Its calculated total energy is -93.57 eV per cell. The value obtained for the formation energy (no corrections) is -12.642 kcal/mol of atoms. Its space group is No. 12.

```
data_NaPmReN3
_chemical_formula_sum 'Na2 Pm2 Re2 N6'
_cell_length_a 6.741
_cell_length_b 6.741
_cell_length_c 6.954
_cell_angle_alpha 105.06
_cell_angle_beta 105.06
_cell_angle_gamma 33.90
_symmetry_space_group_name_H-M 'P 1'
_symmetry_Int_Tables_number 1
loop_
_symmetry_equiv_pos_as_xyz
'x,y,z'
loop_
_atom_site_label
_atom_site_fract_x
_atom_site_fract_y
_atom_site_fract_z
Na1 0.164 0.164 0.075
Na2 0.836 0.836 0.925
Pm1 0.148 0.148 0.565
Pm2 0.852 0.852 0.435
Re1 0.497 0.497 0.791
Re2 0.503 0.503 0.209
N1 0.009 0.009 0.221
N2 0.341 0.341 0.643
N3 0.358 0.358 0.200
N4 0.642 0.642 0.800
N5 0.659 0.659 0.357
N6 0.991 0.991 0.779
```


[3]
Crystalline HfUPt6 at its relaxed geometry, computed with PBE.

The calculation puts the mass density at 19.12 g/cm³. Its calculated total energy is -64.62 eV per cell. The calculation puts the formation energy at -0.89 eV per atom. Its space group is No. 123.

```
data_HfUPt6
_chemical_formula_sum 'Hf1 U1 Pt6'
_cell_length_a 4.095
_cell_length_b 4.095
_cell_length_c 8.217
_cell_angle_alpha 90.00
_cell_angle_beta 90.00
_cell_angle_gamma 90.00
_symmetry_space_group_name_H-M 'P 1'
_symmetry_Int_Tables_number 1
loop_
_symmetry_equiv_pos_as_xyz
'x,y,z'
loop_
_atom_site_label
_atom_site_fract_x
_atom_site_fract_y
_atom_site_fract_z
Hf1 0.000 0.000 0.000
U1 0.000 0.000 0.500
Pt1 0.000 0.500 0.240
Pt2 0.000 0.500 0.760
Pt3 0.500 0.000 0.240
Pt4 0.500 0.000 0.760
Pt5 0.500 0.500 0.000
Pt6 0.500 0.500 0.500
```


[4]
Crystalline Ce2BePd6Au at its relaxed geometry, computed with PBE.

The calculation puts the mass density at 9.92 g/cm³. Its calculated total energy is -55.53 eV per cell. The calculation puts the formation energy at -0.55 eV per atom. Its space group is No. 2.

```
data_Ce2BePd6Au
_chemical_formula_sum 'Ce2 Be1 Pd6 Au1'
_cell_length_a 5.624
_cell_length_b 5.630
_cell_length_c 7.422
_cell_angle_alpha 69.52
_cell_angle_beta 69.41
_cell_angle_gamma 61.38
_symmetry_space_group_name_H-M 'P 1'
_symmetry_Int_Tables_number 1
loop_
_symmetry_equiv_pos_as_xyz
'x,y,z'
loop_
_atom_site_label
_atom_site_fract_x
_atom_site_fract_y
_atom_site_fract_z
Ce1 0.226 0.226 0.206
Ce2 0.774 0.774 0.794
Be1 0.500 0.500 0.500
Pd1 0.152 0.669 0.357
Pd2 0.301 0.301 0.775
Pd3 0.331 0.849 0.642
Pd4 0.669 0.151 0.358
Pd5 0.699 0.699 0.225
Pd6 0.848 0.331 0.643
Au1 0.000 0.000 0.000
```


Question: Among the records above, which one has the highest calculated total energy?
Answer: RbMgSbBr6


Question: What is the formula in the first record?
Answer: RbMgSbBr6